Entry 1:
A geometry-optimized Na2Ac2PaS6 structure, computed with PBE.

Properties
- E_form (uncorrected): -1.737 eV/atom
- Total energy: -64.2 eV/cell
- SG: C2/m

a = 7.424 Å, b = 7.424 Å, c = 7.076 Å
α = 99.37°, β = 99.37°, γ = 119.24°
Positions (direct):
1 Na 0.159 0.841 0.000
2 Na 0.841 0.159 0.000
3 Ac 0.336 0.664 0.500
4 Ac 0.664 0.336 0.500
5 Pa 0.000 0.000 0.500
6 S 0.063 0.379 0.724
7 S 0.231 0.231 0.273
8 S 0.379 0.063 0.724
9 S 0.621 0.937 0.276
10 S 0.769 0.769 0.727
11 S 0.937 0.621 0.276

=====

Entry 2:
A geometry-optimized Na3Ac2PaSe6 structure, computed with PBE.

Properties
- E_form (uncorrected): -1.536 eV/atom
- Total energy: -61.0 eV/cell
- SG: C2/m

a = 7.606 Å, b = 7.606 Å, c = 7.493 Å
α = 99.80°, β = 99.80°, γ = 119.99°
Positions (direct):
1 Na 0.000 0.000 0.000
2 Na 0.333 0.667 0.000
3 Na 0.667 0.333 0.000
4 Ac 0.167 0.833 0.500
5 Ac 0.833 0.167 0.500
6 Pa 0.500 0.500 0.500
7 Se 0.104 0.418 0.256
8 Se 0.266 0.266 0.740
9 Se 0.418 0.104 0.256
10 Se 0.582 0.896 0.744
11 Se 0.734 0.734 0.260
12 Se 0.896 0.582 0.744

=====

Entry 3:
A geometry-optimized Na4Ac3PaSe8 structure, computed with PBE.

Properties
- E_form (uncorrected): -1.580 eV/atom
- Total energy: -80.3 eV/cell
- SG: R-3m

a = 8.703 Å, b = 8.703 Å, c = 8.703 Å
α = 61.18°, β = 61.18°, γ = 61.18°
Positions (direct):
1 Na 0.000 0.000 0.000
2 Na 0.000 0.500 0.500
3 Na 0.500 0.000 0.500
4 Na 0.500 0.500 0.000
5 Ac 0.000 0.000 0.500
6 Ac 0.000 0.500 0.000
7 Ac 0.500 0.000 0.000
8 Pa 0.500 0.500 0.500
9 Se 0.250 0.250 0.250
10 Se 0.262 0.262 0.736
11 Se 0.262 0.736 0.262
12 Se 0.264 0.738 0.738
13 Se 0.736 0.262 0.262
14 Se 0.738 0.264 0.738
15 Se 0.738 0.738 0.264
16 Se 0.750 0.750 0.750

=====

Entry 4:
A geometry-optimized Na2Ac2PaSe6 structure, computed with PBE.

Properties
- E_form (uncorrected): -1.607 eV/atom
- Total energy: -58.9 eV/cell
- SG: C2/m

a = 7.667 Å, b = 7.667 Å, c = 7.405 Å
α = 99.73°, β = 99.73°, γ = 119.14°
Positions (direct):
1 Na 0.165 0.835 0.000
2 Na 0.835 0.165 0.000
3 Ac 0.335 0.665 0.500
4 Ac 0.665 0.335 0.500
5 Pa 0.000 0.000 0.500
6 Se 0.071 0.387 0.732
7 Se 0.230 0.230 0.268
8 Se 0.387 0.071 0.732
9 Se 0.613 0.929 0.268
10 Se 0.770 0.770 0.732
11 Se 0.929 0.613 0.268

=====

Entry 5:
A geometry-optimized Na2AcPaSe4 structure, computed with PBE.

Properties
- E_form (uncorrected): -1.451 eV/atom
- Total energy: -41.8 eV/cell
- SG: P2/m

a = 7.517 Å, b = 4.281 Å, c = 7.535 Å
α = 90.00°, β = 109.25°, γ = 90.00°
Positions (direct):
1 Na 0.000 0.000 0.000
2 Na 0.000 0.500 0.500
3 Ac 0.500 0.000 0.500
4 Pa 0.500 0.500 0.000
5 Se 0.255 0.500 0.232
6 Se 0.263 0.000 0.769
7 Se 0.737 0.000 0.231
8 Se 0.745 0.500 0.768

=====

Entry 6:
A geometry-optimized NaAc2PaSe6 structure, computed with PBE.

Properties
- E_form (uncorrected): -1.649 eV/atom
- Total energy: -56.4 eV/cell
- SG: R3

a = 7.916 Å, b = 7.916 Å, c = 7.916 Å
α = 57.59°, β = 57.59°, γ = 57.59°
Positions (direct):
1 Na 0.000 0.000 0.000
2 Ac 0.282 0.282 0.282
3 Ac 0.792 0.792 0.792
4 Pa 0.489 0.489 0.489
5 Se 0.126 0.693 0.381
6 Se 0.231 0.616 0.844
7 Se 0.381 0.126 0.693
8 Se 0.616 0.844 0.231
9 Se 0.693 0.381 0.126
10 Se 0.844 0.231 0.616